Entry 1:
{
  "formula": "TbCu3Si2",
  "functional": "GGA-PBE",
  "state": "optimized geometry",
  "lattice_angstrom": [[7.324, -1.964, 0.000], [7.324, 1.964, 0.000], [-3.052, 0.000, 6.463]],
  "species": ["Tb", "Tb", "Cu", "Cu", "Cu", "Cu", "Cu", "Cu", "Si", "Si", "Si", "Si"],
  "fractional_positions": [[0.150, 0.150, 0.070], [0.850, 0.850, 0.930], [0.037, 0.037, 0.371], [0.315, 0.315, 0.551], [0.402, 0.402, 0.315], [0.598, 0.598, 0.685], [0.685, 0.685, 0.449], [0.963, 0.963, 0.629], [0.191, 0.191, 0.685], [0.481, 0.481, 0.826], [0.519, 0.519, 0.174], [0.809, 0.809, 0.315]],
  "m_tot_mub_per_cell": 0.0,
  "energy_ev_per_atom": -5.07
}

***

Entry 2:
{
  "formula": "NdGdAgIr",
  "functional": "GGA-PBE",
  "state": "optimized geometry",
  "lattice_angstrom": [[7.187, 0.000, 0.000], [0.000, 7.187, 0.000], [0.000, 0.000, 7.187]],
  "species": ["Nd", "Nd", "Nd", "Nd", "Gd", "Gd", "Gd", "Gd", "Ag", "Ag", "Ag", "Ag", "Ir", "Ir", "Ir", "Ir"],
  "fractional_positions": [[0.000, 0.000, 0.000], [0.000, 0.500, 0.500], [0.500, 0.000, 0.500], [0.500, 0.500, 0.000], [0.000, 0.000, 0.500], [0.000, 0.500, 0.000], [0.500, 0.000, 0.000], [0.500, 0.500, 0.500], [0.250, 0.250, 0.250], [0.250, 0.750, 0.750], [0.750, 0.250, 0.750], [0.750, 0.750, 0.250], [0.250, 0.250, 0.750], [0.250, 0.750, 0.250], [0.750, 0.250, 0.250], [0.750, 0.750, 0.750]],
  "delta_e_f_ev_per_atom": -0.487,
  "m_tot_mub_per_cell": 28.5,
  "energy_ev_per_atom": -8.13
}

***

Which formula does entry 1 have? TbCu3Si2